! Ho2Pt2W PBE relaxed; values from VASP
! Final energy = -7.198 eV/atom
! Total magnetization = 0.91 μB per cell
! SG = No. 2
! Energy of formation = -0.353 eV/atom
! Calculated density = 13979 kg/m3
&SYSTEM
  ibrav = 0, nat = 5, ntyp = 3
/
ATOMIC_SPECIES
Pt 195.08 Pt.upf
W 183.84 W.upf
Ho 164.93 Ho.upf
ATOMIC_POSITIONS crystal
Pt 0.1731 0.3461 0.8480
W 0.5000 0.0000 0.0000
Ho 0.1472 0.2934 0.3333
Ho 0.8528 0.7066 0.6667
Pt 0.8269 0.6539 0.1520
CELL_PARAMETERS angstrom
-2.9351 2.8135 -1.1240
-1.6064 -4.2816 1.3657
-0.1755 2.0447 5.5783

! YHoPt2 PBE relaxed; values from VASP
! Final energy = -7.070 eV/atom
! Total magnetization = 0.01 μB per cell
! SG = No. 31
! Energy of formation = -1.282 eV/atom
! Calculated density = 12159 kg/m3
&SYSTEM
  ibrav = 0, nat = 8, ntyp = 3
/
ATOMIC_SPECIES
Ho 164.93 Ho.upf
Pt 195.08 Pt.upf
Y 88.91 Y.upf
ATOMIC_POSITIONS crystal
Ho 0.0000 0.4316 0.8594
Pt 0.0000 0.2986 0.3451
Pt 0.0000 0.7888 0.1550
Pt 0.5000 0.2112 0.6550
Ho 0.5000 0.5684 0.3594
Y 0.5000 0.0682 0.1406
Y 0.0000 0.9318 0.6406
Pt 0.5000 0.7014 0.8451
CELL_PARAMETERS angstrom
-1.8574 -3.6710 -1.8404
5.8369 -1.0731 -3.7504
2.0721 -3.1114 4.1150

! YHoPt2 PBE relaxed; values from VASP
! Final energy = -7.069 eV/atom
! Total magnetization = 0.01 μB per cell
! SG = No. 11
! Energy of formation = -1.281 eV/atom
! Calculated density = 12157 kg/m3
&SYSTEM
  ibrav = 0, nat = 8, ntyp = 3
/
ATOMIC_SPECIES
Pt 195.08 Pt.upf
Y 88.91 Y.upf
Ho 164.93 Ho.upf
ATOMIC_POSITIONS crystal
Pt 0.8475 0.7500 0.4548
Y 0.6405 0.2500 0.6822
Ho 0.8601 0.2500 0.1816
Ho 0.1399 0.7500 0.8184
Pt 0.3437 0.2500 0.0432
Y 0.3595 0.7500 0.3178
Pt 0.1525 0.2500 0.5452
Pt 0.6563 0.7500 0.9568
CELL_PARAMETERS angstrom
5.5679 0.0000 0.0000
0.0000 4.4988 0.0000
-0.0507 0.0000 7.0234